Pm2AuI after structural relaxation. Source: Alexandria, functional GGA-PBE.

E_tot: -4.302 eV per atom
Magnetic moment: 0.0 Bohr magnetons per cell
Energy relative to the elements, uncorrected: -2.88 eV per formula unit
Excess energy over the best structure of this formula in the dataset: 42.2 kJ/mol of formula units

Cell: 3.6423 3.6423 8.4370 Å, 90.00 90.00 90.00°
Last column: nearest neighbours and their distance in Å.
Space group P4/mmm (No. 123)
Unique sites:
Pm (0.0000, 0.0000, 0.2224) (multiplicity 2)  4 Au 3.19, 4 I 3.48
Au (0.5000, 0.5000, 0.0000) (multiplicity 1)  8 Pm 3.19
I (0.5000, 0.5000, 0.5000) (multiplicity 1)  8 Pm 3.48, 4 I 3.64